No. 1
PBE K2AsPb2, optimized geometry; ΔE_f = -10 kJ/mol of atoms; offset from the most stable computed form = 0 meV/atom; total magnetic moment = 0.000 Bohr magnetons per cell
1.0
7.805 0.000 0.000
0.000 7.805 0.000
0.000 0.000 5.844
K As Pb
4 2 4
direct
0.177 0.323 0.000 K
0.323 0.823 0.000 K
0.677 0.177 0.000 K
0.823 0.677 0.000 K
0.000 0.000 0.500 As
0.500 0.500 0.500 As
0.142 0.642 0.500 Pb
0.358 0.142 0.500 Pb
0.642 0.858 0.500 Pb
0.858 0.358 0.500 Pb

No. 2
PBE AlRe2OsCl, optimized geometry; ΔE_f (raw) = 1.904 eV/atom; offset from the most stable computed form = 215 meV/atom; total magnetic moment = 2.018 Bohr magnetons per cell
1.0
4.812 0.000 0.000
0.000 4.812 0.000
0.000 0.000 4.640
Al Re Os Cl
1 2 1 1
direct
0.000 0.000 0.000 Al
0.000 0.500 0.500 Re
0.500 0.000 0.500 Re
0.500 0.500 0.500 Os
0.500 0.500 0.000 Cl

No. 3
PBE TaCo2Br, optimized geometry; ΔE_f (raw) = 0.144 eV/atom; offset from the most stable computed form = 0 meV/atom; total magnetic moment = 0.000 Bohr magnetons per cell
1.0
3.200 0.000 0.000
0.000 3.089 0.000
-0.009 0.000 6.677
Ta Co Br
1 2 1
direct
0.000 0.000 0.000 Ta
0.500 0.500 0.192 Co
0.500 0.500 0.808 Co
0.500 0.000 0.500 Br

No. 4
PBE MgSe2Br, optimized geometry; ΔE_f (raw) = -0.318 eV/atom; offset from the most stable computed form = 342 meV/atom; total magnetic moment = 0.000 Bohr magnetons per cell
1.0
-1.744 3.800 4.476
1.744 -3.800 4.476
1.744 3.800 -4.476
Mg Se Br
1 2 1
direct
0.000 0.000 0.000 Mg
0.231 0.731 0.500 Se
0.442 0.442 0.000 Se
0.801 0.301 0.500 Br

No. 5
PBE Mg2CN, optimized geometry; ΔE_f (raw) = -0.025 eV/atom; offset from the most stable computed form = 179 meV/atom; total magnetic moment = 0.000 Bohr magnetons per cell
1.0
4.512 0.000 0.000
2.113 4.745 0.000
2.055 0.158 4.965
Mg C N
4 2 2
direct
0.000 0.000 0.000 Mg
0.188 0.452 0.276 Mg
0.430 0.796 0.465 Mg
0.794 0.570 0.850 Mg
0.717 0.353 0.274 C
0.850 0.138 0.465 C
0.006 0.197 0.614 N
0.881 0.857 0.469 N

No. 6
PBE Pm3Ga2Pd2, optimized geometry; ΔE_f = -73 kJ/mol of atoms; total magnetic moment = 0.000 Bohr magnetons per cell
1.0
5.727 0.000 0.000
0.000 8.219 0.000
0.000 0.000 13.665
Pm Ga Pd
12 8 8
direct
0.141 0.245 0.250 Pm
0.141 0.255 0.750 Pm
0.358 0.604 0.102 Pm
0.358 0.604 0.398 Pm
0.358 0.896 0.602 Pm
0.358 0.896 0.898 Pm
0.642 0.104 0.102 Pm
0.642 0.104 0.398 Pm
0.642 0.396 0.602 Pm
0.642 0.396 0.898 Pm
0.859 0.745 0.250 Pm
0.859 0.755 0.750 Pm
0.165 0.250 0.000 Ga
0.165 0.250 0.500 Ga
0.361 0.610 0.750 Ga
0.361 0.890 0.250 Ga
0.639 0.110 0.750 Ga
0.639 0.390 0.250 Ga
0.835 0.750 0.000 Ga
0.835 0.750 0.500 Ga
0.124 0.538 0.592 Pd
0.124 0.538 0.908 Pd
0.124 0.962 0.092 Pd
0.124 0.962 0.408 Pd
0.876 0.038 0.592 Pd
0.876 0.038 0.908 Pd
0.876 0.462 0.092 Pd
0.876 0.462 0.408 Pd

No. 7
PBE Tb3Be2AlPt9, optimized geometry; ΔE_f = -87 kJ/mol of atoms; total magnetic moment = 0.000 Bohr magnetons per cell
1.0
5.748 0.000 0.000
-2.874 4.978 0.000
0.000 0.000 9.409
Tb Be Al Pt
3 2 1 9
direct
0.000 0.000 0.000 Tb
0.333 0.667 0.606 Tb
0.667 0.333 0.394 Tb
0.333 0.667 0.153 Be
0.667 0.333 0.847 Be
0.000 0.000 0.500 Al
0.000 0.500 0.000 Pt
0.165 0.329 0.303 Pt
0.165 0.835 0.303 Pt
0.329 0.165 0.697 Pt
0.500 0.000 0.000 Pt
0.500 0.500 0.000 Pt
0.671 0.835 0.303 Pt
0.835 0.165 0.697 Pt
0.835 0.671 0.697 Pt

No. 8
PBE PrHoHg4, optimized geometry; ΔE_f = -18 kJ/mol of atoms; offset from the most stable computed form = 169 meV/atom; total magnetic moment = 0.000 Bohr magnetons per cell
1.0
4.545 0.000 0.000
0.000 4.557 0.000
0.000 0.000 8.700
Pr Ho Hg
1 1 4
direct
0.000 0.000 0.000 Pr
0.500 0.500 0.500 Ho
0.000 0.500 0.262 Hg
0.000 0.500 0.738 Hg
0.500 0.000 0.263 Hg
0.500 0.000 0.737 Hg

No. 9
PBE BaSr4W, optimized geometry; ΔE_f = 106 kJ/mol of atoms; total magnetic moment = 4.742 Bohr magnetons per cell
1.0
0.000 5.223 5.223
5.223 0.000 5.223
5.223 5.223 0.000
Ba Sr W
1 4 1
direct
0.000 0.000 0.000 Ba
0.128 0.624 0.624 Sr
0.624 0.128 0.624 Sr
0.624 0.624 0.128 Sr
0.624 0.624 0.624 Sr
0.250 0.250 0.250 W

No. 10
PBE BaBe3Zn, optimized geometry; ΔE_f = 206 kJ/mol of atoms; offset from the most stable computed form = 1571 meV/atom; total magnetic moment = 0.000 Bohr magnetons per cell
1.0
6.047 0.000 0.000
0.000 6.047 0.000
0.000 0.000 6.047
Ba Be Zn
1 3 1
direct
0.000 0.000 0.000 Ba
0.000 0.000 0.500 Be
0.000 0.500 0.000 Be
0.500 0.000 0.000 Be
0.500 0.500 0.500 Zn

No. 11
PBE TaTi2Hg, optimized geometry; ΔE_f = 57 kJ/mol of atoms; total magnetic moment = 0.001 Bohr magnetons per cell
1.0
-2.004 2.004 9.729
2.004 -2.004 9.729
2.004 2.004 -9.729
Ta Ti Hg
2 4 2
direct
0.000 0.000 0.000 Ta
0.750 0.250 0.500 Ta
0.113 0.625 0.988 Ti
0.375 0.363 0.488 Ti
0.637 0.125 0.012 Ti
0.875 0.887 0.512 Ti
0.250 0.750 0.500 Hg
0.500 0.500 0.000 Hg

No. 12
PBE Hf8HC4N3, optimized geometry; final energy = -10.287 eV per atom; total magnetic moment = 0.000 Bohr magnetons per cell
1.0
3.259 1.882 5.291
-3.259 1.882 5.291
0.000 -3.763 5.291
Hf H C N
8 1 4 3
direct
0.248 0.248 0.248 Hf
0.256 0.743 0.743 Hf
0.257 0.257 0.744 Hf
0.257 0.744 0.257 Hf
0.743 0.256 0.743 Hf
0.743 0.743 0.256 Hf
0.744 0.257 0.257 Hf
0.752 0.752 0.752 Hf
0.000 0.000 0.000 H
0.000 0.000 0.500 C
0.000 0.500 0.000 C
0.500 0.000 0.000 C
0.500 0.500 0.500 C
0.000 0.500 0.500 N
0.500 0.000 0.500 N
0.500 0.500 0.000 N

No. 13
PBE TlAg2Pd7, optimized geometry; ΔE_f = 42 kJ/mol of atoms; total magnetic moment = 0.000 Bohr magnetons per cell
1.0
3.611 -6.866 0.000
3.611 6.866 0.000
0.000 0.000 4.360
Tl Ag Pd
1 2 7
direct
0.000 0.000 0.000 Tl
0.299 0.701 0.500 Ag
0.701 0.299 0.500 Ag
0.082 0.285 0.500 Pd
0.191 0.809 0.000 Pd
0.285 0.082 0.500 Pd
0.500 0.500 0.500 Pd
0.715 0.918 0.500 Pd
0.809 0.191 0.000 Pd
0.918 0.715 0.500 Pd

No. 14
PBE LaPuAl, optimized geometry; ΔE_f = -8 kJ/mol of atoms; offset from the most stable computed form = 0 meV/atom; total magnetic moment = 6.505 Bohr magnetons per cell
1.0
-1.908 1.908 5.605
1.908 -1.908 5.605
1.908 1.908 -5.605
La Pu Al
1 1 1
direct
0.000 0.000 0.000 La
0.296 0.296 0.000 Pu
0.660 0.660 0.000 Al

No. 15
PBE Ho3GaS6, optimized geometry; ΔE_f (raw) = -1.732 eV/atom; total magnetic moment = 0.000 Bohr magnetons per cell
1.0
5.322 -6.638 0.000
5.322 6.638 0.000
0.000 0.000 6.452
Ho Ga S
6 2 12
direct
0.098 0.902 0.500 Ho
0.216 0.414 0.411 Ho
0.414 0.216 0.911 Ho
0.586 0.784 0.411 Ho
0.784 0.586 0.911 Ho
0.902 0.098 0.000 Ho
0.299 0.701 0.874 Ga
0.701 0.299 0.374 Ga
0.067 0.601 0.693 S
0.132 0.192 0.706 S
0.192 0.132 0.206 S
0.283 0.717 0.227 S
0.399 0.933 0.693 S
0.460 0.540 0.728 S
0.540 0.460 0.228 S
0.601 0.067 0.193 S
0.717 0.283 0.727 S
0.808 0.868 0.706 S
0.868 0.808 0.206 S
0.933 0.399 0.193 S

No. 16
PBE SrFe2IrC, optimized geometry; ΔE_f = 351 kJ/mol of atoms; total magnetic moment = 5.342 Bohr magnetons per cell
1.0
4.875 0.000 0.000
0.000 4.875 0.000
0.000 0.000 4.947
Sr Fe Ir C
1 2 1 1
direct
0.000 0.000 0.000 Sr
0.000 0.500 0.000 Fe
0.500 0.000 0.000 Fe
0.000 0.000 0.500 Ir
0.500 0.500 0.500 C

No. 17
PBE Nd3Zn2Pd3, optimized geometry; ΔE_f = -56 kJ/mol of atoms; offset from the most stable computed form = 103 meV/atom; total magnetic moment = 0.000 Bohr magnetons per cell
1.0
8.510 0.000 0.000
-4.255 7.370 0.000
0.000 0.000 5.717
Nd Zn Pd
6 4 6
direct
0.000 0.275 0.250 Nd
0.000 0.725 0.750 Nd
0.275 0.000 0.250 Nd
0.275 0.275 0.750 Nd
0.725 0.000 0.750 Nd
0.725 0.725 0.250 Nd
0.333 0.667 0.000 Zn
0.333 0.667 0.500 Zn
0.667 0.333 0.000 Zn
0.667 0.333 0.500 Zn
0.000 0.395 0.750 Pd
0.000 0.605 0.250 Pd
0.395 0.000 0.750 Pd
0.395 0.395 0.250 Pd
0.605 0.000 0.250 Pd
0.605 0.605 0.750 Pd

No. 18
PBE CaBr, optimized geometry; ΔE_f (raw) = -1.430 eV/atom; total magnetic moment = 0.000 Bohr magnetons per cell
1.0
4.149 0.000 0.000
-2.075 3.593 0.000
0.000 0.000 10.287
Ca Br
2 2
direct
0.333 0.667 0.154 Ca
0.667 0.333 0.846 Ca
0.333 0.667 0.686 Br
0.667 0.333 0.314 Br

No. 19
PBE SrMgTe3, optimized geometry; ΔE_f (raw) = -0.615 eV/atom; offset from the most stable computed form = 0 meV/atom; total magnetic moment = 0.000 Bohr magnetons per cell
1.0
5.553 0.000 0.000
0.000 5.553 0.000
0.000 0.000 5.553
Sr Mg Te
1 1 3
direct
0.000 0.000 0.000 Sr
0.500 0.500 0.500 Mg
0.000 0.500 0.500 Te
0.500 0.000 0.500 Te
0.500 0.500 0.000 Te

No. 20
PBE Tc4B2Mo, optimized geometry; ΔE_f = 14 kJ/mol of atoms; offset from the most stable computed form = 240 meV/atom; total magnetic moment = 0.000 Bohr magnetons per cell
1.0
1.868 -6.407 0.000
1.868 6.407 0.000
0.000 0.000 3.718
Tc B Mo
4 2 1
direct
0.172 0.828 0.000 Tc
0.326 0.674 0.500 Tc
0.674 0.326 0.500 Tc
0.828 0.172 0.000 Tc
0.432 0.568 0.000 B
0.568 0.432 0.000 B
0.000 0.000 0.500 Mo